(1)
Material: ZrBSe2Br
Method: DFT, GGA-PBE
State: relaxed

Computed properties:
formation energy without anion corrections = 285 meV/atom
energy above the most stable polymorph in this dataset = 0.0000 eV/atom

Unit cell a=4.5978 b=4.5978 c=4.4460 alpha=90.00 beta=90.00 gamma=90.00
With the nearest neighbours (Å) after each atom.
Sites, in units of the cell vectors:
1 Zr 0.0000 0.0000 0.0000  8 Se 3.20, 4 Br 3.25
2 B 0.5000 0.5000 0.5000  2 Br 2.22, 4 Se 2.30
3 Se 0.0000 0.5000 0.5000  2 B 2.30
4 Se 0.5000 0.0000 0.5000  2 B 2.30
5 Br 0.5000 0.5000 0.0000  2 B 2.22


(2)
Material: ZrBSeBr2
Method: DFT, GGA-PBE
State: relaxed

Computed properties:
formation energy without anion corrections = 445 meV/atom
energy above the most stable polymorph in this dataset = 0.1609 eV/atom

Unit cell a=4.6113 b=4.6113 c=4.6881 alpha=90.00 beta=90.00 gamma=90.00
With the nearest neighbours (Å) after each atom.
Sites, in units of the cell vectors:
1 Zr 0.0000 0.0000 0.0000  4 Se 3.26, 8 Br 3.29
2 B 0.5000 0.5000 0.5000  4 Br 2.31, 2 Se 2.34
3 Se 0.5000 0.5000 0.0000  2 B 2.34
4 Br 0.0000 0.5000 0.5000  2 B 2.31
5 Br 0.5000 0.0000 0.5000  2 B 2.31


(3)
Material: ZrBSeBr2
Method: DFT, GGA-PBE
State: relaxed

Computed properties:
formation energy without anion corrections = 284 meV/atom
energy above the most stable polymorph in this dataset = 0.0000 eV/atom

Unit cell a=5.3618 b=5.3618 c=5.1992 alpha=90.00 beta=90.00 gamma=90.00
With the nearest neighbours (Å) after each atom.
Sites, in units of the cell vectors:
1 Zr 0.0000 0.0000 0.0000  2 Se 2.60, 4 Br 2.68
2 B 0.5000 0.5000 0.5000  8 Br 3.73, 4 Se 3.79
3 Se 0.0000 0.0000 0.5000  2 Zr 2.60
4 Br 0.0000 0.5000 0.0000  2 Zr 2.68
5 Br 0.5000 0.0000 0.0000  2 Zr 2.68


(4)
Material: Si3BBr
Method: DFT, GGA-PBE
State: relaxed

Computed properties:
formation energy without anion corrections = 943 meV/atom
energy above the most stable polymorph in this dataset = 0.0000 eV/atom

Unit cell a=4.3665 b=4.3665 c=4.3665 alpha=90.00 beta=90.00 gamma=90.00
With the nearest neighbours (Å) after each atom.
Sites, in units of the cell vectors:
1 Si 0.0000 0.0000 0.5000  2 B 2.18
2 Si 0.0000 0.5000 0.0000  2 B 2.18
3 Si 0.5000 0.0000 0.0000  2 B 2.18
4 B 0.0000 0.0000 0.0000  6 Si 2.18
5 Br 0.5000 0.5000 0.5000  12 Si 3.09


(5)
Material: Si3BBr
Method: DFT, GGA-PBE
State: relaxed

Computed properties:
formation energy without anion corrections = 2244 meV/atom
energy above the most stable polymorph in this dataset = 1.3010 eV/atom

Unit cell a=4.9910 b=4.9910 c=4.9910 alpha=90.00 beta=90.00 gamma=90.00
With the nearest neighbours (Å) after each atom.
Sites, in units of the cell vectors:
1 Si 0.0000 0.0000 0.5000  2 Br 2.50
2 Si 0.0000 0.5000 0.0000  2 Br 2.50
3 Si 0.5000 0.0000 0.0000  2 Br 2.50
4 B 0.5000 0.5000 0.5000  12 Si 3.53
5 Br 0.0000 0.0000 0.0000  6 Si 2.50


(6)
Material: SiSnB2Br
Method: DFT, GGA-PBE
State: relaxed

Computed properties:
formation energy without anion corrections = 1028 meV/atom

Unit cell a=4.1136 b=4.1136 c=5.9558 alpha=90.00 beta=90.00 gamma=90.00
With the nearest neighbours (Å) after each atom.
Sites, in units of the cell vectors:
1 Si 0.0000 0.0000 0.0000  4 B 2.06
2 Sn 0.0000 0.0000 0.5000  4 Br 2.91, 2 Si 2.98
3 B 0.0000 0.5000 0.0000  2 Si 2.06
4 B 0.5000 0.0000 0.0000  2 Si 2.06
5 Br 0.5000 0.5000 0.5000  4 Sn 2.91


(7)
Material: Tl2SiBBr
Method: DFT, GGA-PBE
State: relaxed

Computed properties:
formation energy without anion corrections = 911 meV/atom

Unit cell a=4.8474 b=4.8474 c=5.0758 alpha=90.00 beta=90.00 gamma=90.00
With the nearest neighbours (Å) after each atom.
Sites, in units of the cell vectors:
1 Tl 0.0000 0.5000 0.0000  2 B 2.42
2 Tl 0.5000 0.0000 0.0000  2 B 2.42
3 Si 0.0000 0.0000 0.5000  4 Br 3.43, 8 Tl 3.51
4 B 0.5000 0.5000 0.0000  4 Tl 2.42, 2 Br 2.54
5 Br 0.5000 0.5000 0.5000  2 B 2.54


(8)
Material: SmBBr
Method: DFT, GGA-PBE
State: relaxed

Computed properties:
formation energy without anion corrections = -979 meV/atom
energy above the most stable polymorph in this dataset = 0.0000 eV/atom

Unit cell a=6.2394 b=3.6021 c=12.0244 alpha=90.00 beta=91.17 gamma=90.00
With the nearest neighbours (Å) after each atom.
Sites, in units of the cell vectors:
1 Sm 0.0061 0.0000 0.1560  6 B 2.77-2.83, 3 Br 2.93
2 Sm 0.4939 0.5000 0.8440  6 B 2.77-2.83, 3 Br 2.93
3 Sm 0.5061 0.5000 0.1560  6 B 2.77-2.83, 3 Br 2.93
4 Sm 0.9939 0.0000 0.8440  6 B 2.77-2.83, 3 Br 2.93
5 B 0.1665 0.5000 0.9966  3 B 2.08
6 B 0.3335 0.0000 0.0034  3 B 2.08
7 B 0.6665 0.0000 0.9966  3 B 2.08
8 B 0.8335 0.5000 0.0034  3 B 2.08
9 Br 0.1796 0.5000 0.3272  3 Sm 2.93
10 Br 0.3204 0.0000 0.6728  3 Sm 2.93
11 Br 0.6796 0.0000 0.3272  3 Sm 2.93
12 Br 0.8204 0.5000 0.6728  3 Sm 2.93


(9)
Material: Sm2BBr
Method: DFT, GGA-PBE
State: relaxed

Computed properties:
formation energy without anion corrections = -742 meV/atom

Unit cell a=3.9683 b=3.9683 c=21.6520 alpha=90.00 beta=90.00 gamma=120.00
With the nearest neighbours (Å) after each atom.
Sites, in units of the cell vectors:
1 Sm 0.0000 0.0000 0.2306  3 B 2.68
2 Sm 0.0000 0.0000 0.7694  3 B 2.68
3 Sm 0.3333 0.6667 0.4360  3 B 2.68
4 Sm 0.3333 0.6667 0.8973  3 B 2.68
5 Sm 0.6667 0.3333 0.1027  3 B 2.68
6 Sm 0.6667 0.3333 0.5640  3 B 2.68
7 B 0.0000 0.0000 0.5000  6 Sm 2.68
8 B 0.3333 0.6667 0.1667  6 Sm 2.68
9 B 0.6667 0.3333 0.8333  6 Sm 2.68
10 Br 0.0000 0.0000 0.0000  6 Sm 3.19
11 Br 0.3333 0.6667 0.6667  6 Sm 3.19
12 Br 0.6667 0.3333 0.3333  6 Sm 3.19


(10)
Material: SmBBr
Method: DFT, GGA-PBE
State: relaxed

Computed properties:
formation energy without anion corrections = -289 meV/atom
energy above the most stable polymorph in this dataset = 0.6903 eV/atom

Unit cell a=4.2771 b=4.4516 c=16.3717 alpha=90.00 beta=90.00 gamma=90.00
With the nearest neighbours (Å) after each atom.
Sites, in units of the cell vectors:
1 Sm 0.0000 0.0000 0.1197  2 B 2.40
2 Sm 0.0000 0.0000 0.8803  2 B 2.40
3 Sm 0.5000 0.5000 0.3803  2 B 2.40
4 Sm 0.5000 0.5000 0.6197  2 B 2.40
5 B 0.1767 0.5000 0.5000  1 B 1.51
6 B 0.3233 0.0000 0.0000  1 B 1.51
7 B 0.6767 0.0000 0.0000  1 B 1.51
8 B 0.8233 0.5000 0.5000  1 B 1.51
9 Br 0.0000 0.0000 0.3194  5 Sm 3.24-3.27
10 Br 0.0000 0.0000 0.6806  5 Sm 3.24-3.27
11 Br 0.5000 0.5000 0.1806  5 Sm 3.24-3.27
12 Br 0.5000 0.5000 0.8194  5 Sm 3.24-3.27


(11)
Material: Sm3BBr3
Method: DFT, GGA-PBE
State: relaxed

Computed properties:
formation energy without anion corrections = -1264 meV/atom

Unit cell a=9.9827 b=9.9827 c=9.9827 alpha=109.47 beta=109.47 gamma=109.47
With the nearest neighbours (Å) after each atom.
Sites, in units of the cell vectors:
1 Sm 0.0186 0.0371 0.2686  2 B 2.68, 2 Br 2.99
2 Sm 0.0186 0.4814 0.7500  2 B 2.68, 2 Br 2.99
3 Sm 0.0371 0.2686 0.0186  2 B 2.68, 2 Br 2.99
4 Sm 0.2314 0.2686 0.7500  2 B 2.68, 2 Br 2.99
5 Sm 0.2314 0.4629 0.4814  2 B 2.68, 2 Br 2.99
6 Sm 0.2686 0.0186 0.0371  2 B 2.68, 2 Br 2.99
7 Sm 0.2686 0.7500 0.2314  2 B 2.68, 2 Br 2.99
8 Sm 0.4629 0.4814 0.2314  2 B 2.68, 2 Br 2.99
9 Sm 0.4814 0.2314 0.4629  2 B 2.68, 2 Br 2.99
10 Sm 0.4814 0.7500 0.0186  2 B 2.68, 2 Br 2.99
11 Sm 0.7500 0.0186 0.4814  2 B 2.68, 2 Br 2.99
12 Sm 0.7500 0.2314 0.2686  2 B 2.68, 2 Br 2.99
13 B 0.0000 0.2500 0.5000  6 Sm 2.68
14 B 0.2500 0.2500 0.2500  6 Sm 2.68
15 B 0.2500 0.5000 0.0000  6 Sm 2.68
16 B 0.5000 0.0000 0.2500  6 Sm 2.68
17 Br 0.2500 0.7577 0.7423  4 Sm 2.99-3.11
18 Br 0.2500 0.9923 0.5077  4 Sm 2.99-3.11
19 Br 0.5077 0.2500 0.9923  4 Sm 2.99-3.11
20 Br 0.5077 0.7577 0.5153  4 Sm 2.99-3.11
21 Br 0.5153 0.5077 0.7577  4 Sm 2.99-3.11
22 Br 0.7423 0.2500 0.7577  4 Sm 2.99-3.11
23 Br 0.7423 0.9923 0.9847  4 Sm 2.99-3.11
24 Br 0.7577 0.5153 0.5077  4 Sm 2.99-3.11
25 Br 0.7577 0.7423 0.2500  4 Sm 2.99-3.11
26 Br 0.9847 0.7423 0.9923  4 Sm 2.99-3.11
27 Br 0.9923 0.5077 0.2500  4 Sm 2.99-3.11
28 Br 0.9923 0.9847 0.7423  4 Sm 2.99-3.11


(12)
Material: Sm4B2Br5
Method: DFT, GGA-PBE
State: relaxed

Computed properties:
formation energy without anion corrections = -1250 meV/atom

Unit cell a=10.7828 b=10.7828 c=10.7828 alpha=158.71 beta=135.58 gamma=49.77
With the nearest neighbours (Å) after each atom.
Sites, in units of the cell vectors:
1 Sm 0.1606 0.1606 0.0000  1 B 2.36
2 Sm 0.2049 0.5000 0.7049  4 B 2.72
3 Sm 0.7951 0.5000 0.2951  4 B 2.72
4 Sm 0.8394 0.8394 0.0000  1 B 2.36
5 B 0.0402 0.0402 0.0000  1 B 1.57
6 B 0.9598 0.9598 0.0000  1 B 1.57
7 Br 0.0998 0.3362 0.7637  3 Sm 2.93-3.24
8 Br 0.4275 0.6638 0.7637  3 Sm 2.93-3.24
9 Br 0.5000 0.0000 0.5000  4 Sm 3.12
10 Br 0.5725 0.3362 0.2363  3 Sm 2.93-3.24
11 Br 0.9002 0.6638 0.2363  3 Sm 2.93-3.24


(13)
Material: Sn2BBr
Method: DFT, GGA-PBE
State: relaxed

Computed properties:
formation energy without anion corrections = 881 meV/atom
energy above the most stable polymorph in this dataset = 0.4931 eV/atom

Unit cell a=7.0767 b=7.0767 c=7.0767 alpha=90.00 beta=90.00 gamma=90.00
With the nearest neighbours (Å) after each atom.
Sites, in units of the cell vectors:
1 Sn 0.2500 0.2500 0.2500  4 Br 3.06, 4 B 3.06
2 Sn 0.2500 0.2500 0.7500  4 Br 3.06, 4 B 3.06
3 Sn 0.2500 0.7500 0.2500  4 Br 3.06, 4 B 3.06
4 Sn 0.2500 0.7500 0.7500  4 Br 3.06, 4 B 3.06
5 Sn 0.7500 0.2500 0.2500  4 Br 3.06, 4 B 3.06
6 Sn 0.7500 0.2500 0.7500  4 Br 3.06, 4 B 3.06
7 Sn 0.7500 0.7500 0.2500  4 Br 3.06, 4 B 3.06
8 Sn 0.7500 0.7500 0.7500  4 Br 3.06, 4 B 3.06
9 B 0.0000 0.0000 0.0000  8 Sn 3.06
10 B 0.0000 0.5000 0.5000  8 Sn 3.06
11 B 0.5000 0.0000 0.5000  8 Sn 3.06
12 B 0.5000 0.5000 0.0000  8 Sn 3.06
13 Br 0.0000 0.0000 0.5000  8 Sn 3.06
14 Br 0.0000 0.5000 0.0000  8 Sn 3.06
15 Br 0.5000 0.0000 0.0000  8 Sn 3.06
16 Br 0.5000 0.5000 0.5000  8 Sn 3.06


(14)
Material: Sn3BBr
Method: DFT, GGA-PBE
State: relaxed

Computed properties:
formation energy without anion corrections = 1500 meV/atom
energy above the most stable polymorph in this dataset = 0.9668 eV/atom

Unit cell a=5.5833 b=5.5833 c=5.5833 alpha=90.00 beta=90.00 gamma=90.00
With the nearest neighbours (Å) after each atom.
Sites, in units of the cell vectors:
1 Sn 0.0000 0.0000 0.5000  2 Br 2.79
2 Sn 0.0000 0.5000 0.0000  2 Br 2.79
3 Sn 0.5000 0.0000 0.0000  2 Br 2.79
4 B 0.5000 0.5000 0.5000  12 Sn 3.95
5 Br 0.0000 0.0000 0.0000  6 Sn 2.79